[1]
The following is a PBEsol calculation of a relaxed Be2PIr crystal, from the Alexandria database.

Lattice parameters (Å, degrees): 4.151 4.151 4.056 97.30 97.30 38.98
Positions (direct):
Be  0.000  0.000  0.000
Be  0.746  0.746  0.209
P  0.512  0.512  0.469
Ir  0.250  0.250  0.727

Summary:
As for the density of states at the Fermi level: 0.668 states/eV per cell. The total DFT energy (no corrections) is -6.162 eV/atom. Its crystal system is monoclinic. The calculation puts the volume at 10.89 Å³ per atom. The formation energy from the elements is -0.26 eV per atom.



[2]
The following is a PBEsol calculation of a relaxed MnTl2Hg crystal, from the Alexandria database.

Lattice parameters (Å, degrees): 9.773 9.773 9.773 19.51 19.51 19.51
Positions (direct):
Mn  0.000  0.000  0.000
Tl  0.258  0.258  0.258
Tl  0.494  0.494  0.494
Hg  0.736  0.736  0.736

Summary:
As for the density of states at the Fermi level: 2.610 states/eV per cell. The total DFT energy (no corrections) is -3.567 eV/atom. Its crystal system is trigonal. The calculation puts the volume at 22.76 Å³ per atom. The formation energy from the elements is 0.33 eV per atom. As for the energy above the most stable polymorph in this dataset: 23.1 meV/atom.



[3]
The following is a PBEsol calculation of a relaxed Au crystal, from the Alexandria database.

Lattice parameters (Å, degrees): 2.853 2.883 7.278 101.21 90.30 119.29
Positions (direct):
Au  0.000  0.000  0.000
Au  0.220  0.445  0.667
Au  0.780  0.555  0.333

Summary:
As for the density of states at the Fermi level: 1.024 states/eV per cell. The total DFT energy (no corrections) is -3.917 eV/atom. Its crystal system is triclinic. The calculation puts the volume at 16.96 Å³ per atom. The formation energy from the elements is 0.01 eV per atom. As for the energy above the most stable polymorph in this dataset: 7.0 meV/atom.



[4]
The following is a PBEsol calculation of a relaxed TaGaN2O crystal, from the Alexandria database.

Lattice parameters (Å, degrees): 4.089 4.089 3.882 90.00 90.00 90.00
Positions (direct):
Ta  0.000  0.000  0.000
Ga  0.500  0.500  0.500
N  0.000  0.500  0.000
N  0.500  0.000  0.000
O  0.000  0.000  0.500

Summary:
As for the density of states at the Fermi level: 2.466 states/eV per cell. The total DFT energy (no corrections) is -8.094 eV/atom. Its raw formation energy is -0.46 eV/atom. Its crystal system is tetragonal. The calculation puts the volume at 12.98 Å³ per atom.



[5]
The following is a PBEsol calculation of a relaxed CuHgSe2 crystal, from the Alexandria database.

Lattice parameters (Å, degrees): 6.989 6.989 6.989 131.04 131.04 71.76
Positions (direct):
Cu  0.000  0.000  0.000
Cu  0.750  0.250  0.500
Hg  0.250  0.750  0.500
Hg  0.500  0.500  0.000
Se  0.080  0.625  0.955
Se  0.375  0.330  0.455
Se  0.670  0.125  0.045
Se  0.875  0.920  0.545

Summary:
As for the density of states at the Fermi level: 5.028 states/eV per cell. The total DFT energy (no corrections) is -3.283 eV/atom. Its raw formation energy is -0.13 eV/atom. Its crystal system is tetragonal. The calculation puts the volume at 23.75 Å³ per atom.



[6]
The following is a PBEsol calculation of a relaxed BaLi2Ru crystal, from the Alexandria database.

Lattice parameters (Å, degrees): 5.428 5.428 5.428 140.81 124.17 70.33
Positions (direct):
Ba  0.000  0.000  0.000
Li  0.286  0.786  0.500
Li  0.547  0.547  0.000
Ru  0.752  0.252  0.500

Summary:
As for the density of states at the Fermi level: 1.880 states/eV per cell. The total DFT energy (no corrections) is -3.516 eV/atom. Its crystal system is orthorhombic. The calculation puts the volume at 20.52 Å³ per atom. The formation energy from the elements is 0.55 eV per atom. As for the energy above the most stable polymorph in this dataset: 26.8 meV/atom.



[7]
The following is a PBEsol calculation of a relaxed Al2InSbH crystal, from the Alexandria database.

Lattice parameters (Å, degrees): 4.368 4.368 4.749 90.00 90.00 90.00
Positions (direct):
Al  0.000  0.500  0.000
Al  0.500  0.000  0.000
In  0.000  0.000  0.500
Sb  0.500  0.500  0.500
H  0.000  0.000  0.000

Summary:
As for the density of states at the Fermi level: 1.892 states/eV per cell. The total DFT energy (no corrections) is -3.524 eV/atom. Its crystal system is tetragonal. The calculation puts the volume at 18.12 Å³ per atom.



[8]
The following is a PBEsol calculation of a relaxed CdHg2Pb crystal, from the Alexandria database.

Lattice parameters (Å, degrees): 9.809 9.809 9.809 20.11 20.11 20.11
Positions (direct):
Cd  0.000  0.000  0.000
Hg  0.256  0.256  0.256
Hg  0.744  0.744  0.744
Pb  0.500  0.500  0.500

Summary:
As for the density of states at the Fermi level: 1.926 states/eV per cell. The total DFT energy (no corrections) is -1.567 eV/atom. Its crystal system is trigonal. The calculation puts the volume at 24.40 Å³ per atom. The formation energy from the elements is 0.02 eV per atom.



[9]
The following is a PBEsol calculation of a relaxed RuNCl2 crystal, from the Alexandria database.

Lattice parameters (Å, degrees): 4.205 4.205 4.205 60.00 60.00 60.00
Positions (direct):
Ru  0.000  0.000  0.000
N  0.500  0.500  0.500
Cl  0.250  0.250  0.250
Cl  0.750  0.750  0.750

Summary:
As for the density of states at the Fermi level: 3.084 states/eV per cell. The total DFT energy (no corrections) is -4.157 eV/atom. Its raw formation energy is 1.52 eV/atom. Its crystal system is cubic. The calculation puts the volume at 13.14 Å³ per atom. As for the energy above the most stable polymorph in this dataset: 1448.5 meV/atom.



[10]
The following is a PBEsol calculation of a relaxed RbRuSeBr2 crystal, from the Alexandria database.

Lattice parameters (Å, degrees): 5.986 5.986 5.866 90.00 90.00 90.00
Positions (direct):
Rb  0.000  0.000  0.000
Ru  0.500  0.500  0.500
Se  0.000  0.000  0.500
Br  0.000  0.500  0.000
Br  0.500  0.000  0.000

Summary:
As for the density of states at the Fermi level: 4.152 states/eV per cell. The total DFT energy (no corrections) is -2.423 eV/atom. Its raw formation energy is 1.33 eV/atom. Its crystal system is tetragonal. The calculation puts the volume at 42.04 Å³ per atom.



[11]
The following is a PBEsol calculation of a relaxed CoTcTe3 crystal, from the Alexandria database.

Lattice parameters (Å, degrees): 4.844 4.844 4.844 90.00 90.00 90.00
Positions (direct):
Co  0.000  0.000  0.000
Tc  0.500  0.500  0.500
Te  0.000  0.000  0.500
Te  0.000  0.500  0.000
Te  0.500  0.000  0.000

Summary:
As for the density of states at the Fermi level: 6.136 states/eV per cell. The total DFT energy (no corrections) is -4.902 eV/atom. Its raw formation energy is 1.01 eV/atom. Its crystal system is cubic. The calculation puts the volume at 22.74 Å³ per atom.



[12]
The following is a PBEsol calculation of a relaxed Mg2TeSeBr crystal, from the Alexandria database.

Lattice parameters (Å, degrees): 5.220 5.220 5.548 90.00 90.00 90.00
Positions (direct):
Mg  0.000  0.500  0.000
Mg  0.500  0.000  0.000
Te  0.000  0.000  0.500
Se  0.000  0.000  0.000
Br  0.500  0.500  0.500

Summary:
As for the density of states at the Fermi level: 4.096 states/eV per cell. The total DFT energy (no corrections) is -2.601 eV/atom. Its raw formation energy is -0.07 eV/atom. Its crystal system is tetragonal. The calculation puts the volume at 30.23 Å³ per atom.